Record 1
! Tc2TePb meta-GGA SCAN PBEsol geometry; values from VASP
&SYSTEM
  ibrav = 0, nat = 4, ntyp = 3
/
ATOMIC_SPECIES
Pb 207.20 Pb.upf
Tc 98.00 Tc.upf
Te 127.60 Te.upf
CELL_PARAMETERS angstrom
3.270 0.000 0.000
0.000 3.991 0.000
-1.635 -1.995 5.836
ATOMIC_POSITIONS crystal
Pb 0.790 0.290 0.579
Tc 0.962 0.962 0.924
Tc 0.211 0.711 0.422
Te 0.537 0.537 0.074
! Calculated volume ... 19.04 Å³/atom
! SG ... Imm2 (44)
! Electronic total energy ... -45.22 eV/atom
! DOS(E_F) ... 0.8668 states/eV/atom
! ΔE_f (raw) ... 565 meV per atom

***

Record 2
! Tc2TePb meta-GGA SCAN PBEsol geometry; values from VASP
&SYSTEM
  ibrav = 0, nat = 4, ntyp = 3
/
ATOMIC_SPECIES
Pb 207.20 Pb.upf
Tc 98.00 Tc.upf
Te 127.60 Te.upf
CELL_PARAMETERS angstrom
-0.331 0.254 -3.222
-0.646 -3.178 -0.184
-6.475 1.271 0.766
ATOMIC_POSITIONS crystal
Pb 0.500 0.500 0.500
Tc 0.000 0.000 0.767
Tc 0.000 0.000 0.233
Te 0.500 0.500 0.000
! Calculated volume ... 17.53 Å³/atom
! SG ... P4/mmm (123)
! Electronic total energy ... -45.28 eV/atom
! DOS(E_F) ... 0.7081 states/eV/atom
! ΔE_f (raw) ... 513 meV per atom

***

Record 3
! TcTe2Pb meta-GGA SCAN PBEsol geometry; values from VASP
&SYSTEM
  ibrav = 0, nat = 4, ntyp = 3
/
ATOMIC_SPECIES
Pb 207.20 Pb.upf
Tc 98.00 Tc.upf
Te 127.60 Te.upf
CELL_PARAMETERS angstrom
-0.820 -3.473 0.273
4.729 -1.075 0.528
-0.475 0.531 5.340
ATOMIC_POSITIONS crystal
Pb 0.500 0.500 0.000
Tc 0.000 0.500 0.500
Te 0.000 0.000 0.000
Te 0.500 0.000 0.500
! Calculated volume ... 23.51 Å³/atom
! SG ... Pmmm (47)
! Electronic total energy ... -45.59 eV/atom
! DOS(E_F) ... 0.6558 states/eV/atom
! ΔE_f (raw) ... 741 meV per atom

***

Record 4
! Tc2TePb meta-GGA SCAN PBEsol geometry; values from VASP
&SYSTEM
  ibrav = 0, nat = 4, ntyp = 3
/
ATOMIC_SPECIES
Pb 207.20 Pb.upf
Tc 98.00 Tc.upf
Te 127.60 Te.upf
CELL_PARAMETERS angstrom
-0.006 -3.243 -0.465
4.152 0.283 -2.027
2.047 -0.594 4.109
ATOMIC_POSITIONS crystal
Pb 0.500 0.000 0.000
Tc 0.000 0.000 0.500
Tc 0.000 0.500 0.000
Te 0.500 0.500 0.500
! Calculated volume ... 17.55 Å³/atom
! SG ... P4/mmm (123)
! Electronic total energy ... -45.22 eV/atom
! DOS(E_F) ... 0.9454 states/eV/atom
! ΔE_f (raw) ... 567 meV per atom

***

Record 5
! TcTePb meta-GGA SCAN PBEsol geometry; values from VASP
&SYSTEM
  ibrav = 0, nat = 3, ntyp = 3
/
ATOMIC_SPECIES
Pb 207.20 Pb.upf
Tc 98.00 Tc.upf
Te 127.60 Te.upf
CELL_PARAMETERS angstrom
3.234 0.000 0.000
0.000 3.234 0.000
-1.617 -1.617 6.525
ATOMIC_POSITIONS crystal
Pb 0.972 0.972 0.944
Tc 0.318 0.318 0.635
Te 0.711 0.711 0.421
! Calculated volume ... 22.75 Å³/atom
! SG ... I4mm (107)
! Electronic total energy ... -49.24 eV/atom
! DOS(E_F) ... 0.5956 states/eV/atom
! ΔE_f (raw) ... 124 meV per atom

***

Record 6
! TcTe2Pb meta-GGA SCAN PBEsol geometry; values from VASP
&SYSTEM
  ibrav = 0, nat = 4, ntyp = 3
/
ATOMIC_SPECIES
Pb 207.20 Pb.upf
Tc 98.00 Tc.upf
Te 127.60 Te.upf
CELL_PARAMETERS angstrom
-2.642 0.295 1.846
-0.727 -3.106 -0.545
4.754 -2.374 7.184
ATOMIC_POSITIONS crystal
Pb 0.500 0.500 0.000
Tc 0.500 0.500 0.500
Te 0.000 0.000 0.684
Te 0.000 0.000 0.316
! Calculated volume ... 23.39 Å³/atom
! SG ... P4/mmm (123)
! Electronic total energy ... -46.20 eV/atom
! DOS(E_F) ... 0.8234 states/eV/atom
! ΔE_f (raw) ... 131 meV per atom